Record 1
A relaxed structure of Co6Ni2Ir. Source: Alexandria, functional GGA-PBE.

POSCAR file:
```
Co6Ni2Ir
1.0
6.243 0.742 0.429
0.747 4.294 -0.382
0.747 1.808 3.914
Co Ni Ir
6 2 1
Direct
0.301 0.331 0.788
0.478 0.772 0.772
0.301 0.788 0.331
0.699 0.669 0.212
0.522 0.228 0.228
0.699 0.212 0.669
0.910 0.667 0.667
0.090 0.333 0.333
0.000 0.000 0.000
```

- electronic total energy (eV/atom) = -6.8347
- energy above the lowest structure with this stoichiometry (kJ/mol of atoms) = 9.6
- energy relative to the elements (eV per atom) = 0.172
- total moment (μB per cell) = 12.44



Record 2
A relaxed structure of CoNiIr6. Source: Alexandria, functional GGA-PBE.

POSCAR file:
```
CoNiIr6
1.0
3.661 0.000 0.999
1.680 4.218 1.050
0.024 -0.055 7.117
Co Ni Ir
1 1 6
Direct
0.000 0.000 0.000
0.000 0.500 0.500
0.250 0.874 0.626
0.501 0.248 0.751
0.251 0.375 0.124
0.499 0.752 0.249
0.750 0.126 0.374
0.749 0.625 0.876
```

- electronic total energy (eV/atom) = -8.2483
- energy relative to the elements (eV per atom) = 0.008
- total moment (μB per cell) = 2.06



Record 3
A relaxed structure of CoNi3Ir. Source: Alexandria, functional GGA-PBE.

POSCAR file:
```
CoNi3Ir
1.0
2.592 0.000 -0.406
0.000 7.763 0.000
-0.359 0.000 6.176
Co Ni Ir
2 6 2
Direct
0.978 0.009 0.956
0.022 0.509 0.044
0.830 0.212 0.659
0.170 0.712 0.341
0.500 0.259 0.000
0.500 0.759 0.000
0.829 0.806 0.659
0.171 0.306 0.341
0.341 0.509 0.682
0.659 0.009 0.318
```

- electronic total energy (eV/atom) = -6.4416
- energy above the lowest structure with this stoichiometry (kJ/mol of atoms) = 5.9
- energy relative to the elements (eV per atom) = 0.221
- total moment (μB per cell) = 8.72